A geometry-optimized NbFeF3 structure. Source: Alexandria, functional PBE+U.

```
NbFeF3
1.0
-0.5660 4.2209 -0.7446
-4.1256 -0.3330 1.2488
1.1618 0.8741 4.0715
F Fe Nb
3 1 1
direct
0.5000 0.0000 0.0000
0.0000 0.5000 0.0000
0.0000 0.0000 0.5000
0.5000 0.5000 0.5000
0.0000 0.0000 0.0000
```

Output
D(E_F) = 10.83 states/eV/f.u.
Magnetic moment = 6.5 μB per cell
Final energy = -26.75 eV per cell
Space-group type = Pm-3m (221)